3
Lattice="0.000 4.369 4.369 4.369 0.000 4.369 4.369 4.369 0.000" Properties=species:S:1:pos:R:3 comment="PBE CsLaOs, relaxed" de_polymorph_ev_per_fu=4.869 spacegroup=F-43m pbc="T T T"
Cs 0.000 0.000 0.000
La 6.554 6.554 6.554
Os 2.185 2.185 2.185

***

3
Lattice="0.000 3.613 3.613 3.613 0.000 3.613 3.613 3.613 0.000" Properties=species:S:1:pos:R:3 comment="PBE CsLaOs, relaxed" de_polymorph_ev_per_fu=0.000 spacegroup=F-43m pbc="T T T"
Cs 0.000 0.000 0.000
La 3.613 3.613 3.613
Os 1.807 1.807 1.807

***

3
Lattice="0.000 3.660 3.660 3.660 0.000 3.660 3.660 3.660 0.000" Properties=species:S:1:pos:R:3 comment="PBE CsLaPd, relaxed" energy_ev_per_atom=-3.337 spacegroup=F-43m pbc="T T T"
Cs 0.000 0.000 0.000
La 5.490 5.490 5.490
Pd 3.660 3.660 3.660

***

3
Lattice="0.000 3.622 3.622 3.622 0.000 3.622 3.622 3.622 0.000" Properties=species:S:1:pos:R:3 comment="PBE CsLaPd, relaxed" energy_ev_per_atom=-3.045 spacegroup=F-43m pbc="T T T"
Cs 0.000 0.000 0.000
La 5.433 5.433 5.433
Pd 1.811 1.811 1.811

***

12
Lattice="2.224 -8.654 0.000 2.224 8.654 0.000 0.000 0.000 10.304" Properties=species:S:1:pos:R:3 comment="PBE CsLaPdSe3, relaxed" de_polymorph_ev_per_fu=0.128 spacegroup=Cmcm pbc="T T T"
Cs 2.224 4.352 7.728
Cs 2.224 -4.352 2.576
La 0.000 0.000 0.000
La 0.000 0.000 5.152
Pd 2.224 0.060 7.728
Pd 2.224 -0.060 2.576
Se 2.224 7.118 2.576
Se 2.224 1.825 0.944
Se 2.224 1.825 4.208
Se 2.224 -1.825 6.096
Se 2.224 -1.825 9.360
Se 2.224 -7.118 7.728

***

12
Lattice="2.284 -7.398 0.000 2.284 7.398 0.000 0.000 0.000 11.897" Properties=species:S:1:pos:R:3 comment="PBE CsLaPdSe3, relaxed" de_polymorph_ev_per_fu=0.000 spacegroup=Cmcm pbc="T T T"
Cs 2.284 4.009 8.923
Cs 2.284 -4.009 2.974
La 2.284 0.000 0.000
La 2.284 0.000 5.948
Pd 2.284 6.454 2.974
Pd 2.284 -6.454 8.923
Se 2.284 5.531 0.609
Se 2.284 5.531 5.340
Se 2.284 0.030 2.974
Se 2.284 -0.030 8.923
Se 2.284 -5.531 6.557
Se 2.284 -5.531 11.288

***

12
Lattice="2.317 -9.374 0.000 2.317 9.374 0.000 0.000 0.000 10.509" Properties=species:S:1:pos:R:3 comment="PBE CsLaTe3Pd, relaxed" energy_ev_per_atom=-4.430 spacegroup=Cmcm pbc="T T T"
Cs 2.317 4.690 7.882
Cs 2.317 -4.690 2.627
La 0.000 0.000 0.000
La 0.000 0.000 5.255
Te 2.317 7.621 2.627
Te 2.317 2.027 1.033
Te 2.317 2.027 4.221
Te 2.317 -2.027 6.288
Te 2.317 -2.027 9.476
Te 2.317 -7.621 7.882
Pd 2.317 0.143 7.882
Pd 2.317 -0.143 2.627

***

3
Lattice="0.000 4.387 4.387 4.387 0.000 4.387 4.387 4.387 0.000" Properties=species:S:1:pos:R:3 comment="PBE CsLaPm, relaxed" de_polymorph_ev_per_fu=0.000 spacegroup=F-43m pbc="T T T"
Cs 0.000 0.000 0.000
La 4.387 4.387 4.387
Pm 2.194 2.194 2.194

***

3
Lattice="0.000 4.411 4.411 4.411 0.000 4.411 4.411 4.411 0.000" Properties=species:S:1:pos:R:3 comment="PBE CsLaPr, relaxed" de_polymorph_ev_per_fu=0.000 spacegroup=F-43m pbc="T T T"
Cs 0.000 0.000 0.000
La 4.411 4.411 4.411
Pr 2.205 2.205 2.205

***

12
Lattice="2.111 -8.458 0.000 2.111 8.458 0.000 0.000 0.000 10.819" Properties=species:S:1:pos:R:3 comment="PBE CsLaPtSe3, relaxed" energy_ev_per_atom=-4.880 spacegroup=Cmcm pbc="T T T"
Cs 2.111 4.276 8.115
Cs 2.111 -4.276 2.705
La 2.111 0.000 0.000
La 2.111 0.000 5.410
Pt 2.111 8.291 2.705
Pt 2.111 -8.291 8.115
Se 2.111 6.503 0.923
Se 2.111 6.503 4.487
Se 2.111 1.309 2.705
Se 2.111 -1.309 8.115
Se 2.111 -6.503 6.332
Se 2.111 -6.503 9.897

***

3
Lattice="0.000 4.264 4.264 4.264 0.000 4.264 4.264 4.264 0.000" Properties=species:S:1:pos:R:3 comment="PBE CsLaPu, relaxed" de_polymorph_ev_per_fu=0.000 spacegroup=F-43m pbc="T T T"
Cs 0.000 0.000 0.000
La 4.264 4.264 4.264
Pu 2.132 2.132 2.132

***

3
Lattice="0.000 3.613 3.613 3.613 0.000 3.613 3.613 3.613 0.000" Properties=species:S:1:pos:R:3 comment="PBE CsLaRe, relaxed" de_polymorph_ev_per_fu=1.753 spacegroup=F-43m pbc="T T T"
Cs 0.000 0.000 0.000
La 5.420 5.420 5.420
Re 1.807 1.807 1.807

***

3
Lattice="0.000 3.651 3.651 3.651 0.000 3.651 3.651 3.651 0.000" Properties=species:S:1:pos:R:3 comment="PBE CsLaRe, relaxed" de_polymorph_ev_per_fu=0.000 spacegroup=F-43m pbc="T T T"
Cs 0.000 0.000 0.000
La 3.651 3.651 3.651
Re 1.825 1.825 1.825

***

12
Lattice="2.481 -7.963 0.000 2.481 7.963 0.000 0.000 0.000 10.237" Properties=species:S:1:pos:R:3 comment="PBE CsLaSmS3, relaxed" energy_ev_per_atom=-5.443 spacegroup=Cmcm pbc="T T T"
Cs 2.481 4.095 7.678
Cs 2.481 -4.095 2.559
La 2.481 0.084 7.678
La 2.481 -0.084 2.559
Sm 0.000 0.000 0.000
Sm 0.000 0.000 5.119
S 2.481 6.734 2.559
S 2.481 1.664 0.331
S 2.481 1.664 4.787
S 2.481 -1.664 5.450
S 2.481 -1.664 9.906
S 2.481 -6.734 7.678

***

8
Lattice="4.183 0.000 0.000 -2.092 3.623 0.000 0.000 0.000 16.114" Properties=species:S:1:pos:R:3 comment="PBE Cs2LaTmS4, relaxed" energy_ev_per_atom=-5.291 spacegroup=P-3m1 pbc="T T T"
Cs 0.000 2.415 3.946
Cs 2.092 1.208 12.169
La 0.000 0.000 8.057
Tm 0.000 0.000 0.000
S 0.000 2.415 9.638
S 0.000 2.415 14.730
S 2.092 1.208 1.384
S 2.092 1.208 6.477

***

12
Lattice="8.865 0.000 0.000 0.000 4.205 0.000 -3.561 0.000 10.055" Properties=species:S:1:pos:R:3 comment="PBE CsLaZnS3, relaxed" energy_ev_per_atom=-4.745 spacegroup=P2_1/m pbc="T T T"
Cs 1.362 1.051 2.114
Cs 3.942 3.154 7.942
La -0.602 3.154 6.423
La 5.906 1.051 3.632
Zn 0.594 1.051 8.984
Zn 4.710 3.154 1.071
S -1.001 3.154 3.623
S -0.619 3.154 9.489
S 1.333 1.051 6.805
S 3.971 3.154 3.251
S 5.923 1.051 0.566
S 6.305 1.051 6.432

***

12
Lattice="9.287 -2.193 0.000 9.287 2.193 0.000 -1.579 0.000 8.703" Properties=species:S:1:pos:R:3 comment="PBE CsLaZnS3, relaxed" energy_ev_per_atom=-4.546 spacegroup=C2/m pbc="T T T"
Cs 2.667 0.000 0.577
Cs 14.327 0.000 8.126
La 2.093 0.000 4.808
La 14.902 0.000 3.895
Zn 8.338 0.000 2.124
Zn 8.656 0.000 6.579
S -0.790 0.000 4.351
S 4.878 0.000 5.536
S 6.088 0.000 2.044
S 9.287 0.000 0.000
S 10.906 0.000 6.658
S 12.117 0.000 3.167

***

12
Lattice="9.729 -2.271 0.000 9.729 2.271 0.000 -1.636 0.000 9.049" Properties=species:S:1:pos:R:3 comment="PBE CsLaZnSe3, relaxed" energy_ev_per_atom=-4.155 spacegroup=C2/m pbc="T T T"
Cs 2.717 0.000 0.597
Cs 15.105 0.000 8.451
La 2.229 0.000 5.011
La 15.593 0.000 4.038
Zn 8.698 0.000 2.266
Zn 9.124 0.000 6.782
Se -0.818 0.000 4.524
Se 5.113 0.000 5.785
Se 6.315 0.000 2.077
Se 9.729 0.000 0.000
Se 11.507 0.000 6.972
Se 12.709 0.000 3.263

***

3
Lattice="0.000 3.584 3.584 3.584 0.000 3.584 3.584 3.584 0.000" Properties=species:S:1:pos:R:3 comment="PBE CsLaTc, relaxed" energy_ev_per_atom=-4.127 spacegroup=F-43m pbc="T T T"
Cs 0.000 0.000 0.000
La 3.584 3.584 3.584
Tc 1.792 1.792 1.792

***

3
Lattice="0.000 4.054 4.054 4.054 0.000 4.054 4.054 4.054 0.000" Properties=species:S:1:pos:R:3 comment="PBE CsLaTh, relaxed" energy_ev_per_atom=-3.026 spacegroup=F-43m pbc="T T T"
Cs 0.000 0.000 0.000
La 2.027 2.027 2.027
Th 4.054 4.054 4.054